Version A
Entry from Alexandria via LeMat-Bulk: crystalline Ca2IrSe at its relaxed geometry (GGA-PBEsol).

Unit cell a=4.097 b=5.695 c=5.695 alpha=42.19 beta=90.00 gamma=90.00
Sites, in units of the cell vectors:
Ca: 0.000 0.000 0.000
Ca: 0.500 0.282 0.282
Ir: 0.000 0.713 0.713
Se: 0.500 0.570 0.570

N(E_F) ... 2.9 states/eV/cell
Magnetic moment ... 0.00 μB per cell

Version B
Entry from Alexandria via LeMat-Bulk: crystalline Ca2IrSe at its relaxed geometry (GGA-PBEsol).

Unit cell a=4.874 b=4.874 c=3.493 alpha=90.00 beta=90.00 gamma=98.69
Sites, in units of the cell vectors:
Ca: 0.000 0.500 0.000
Ca: 0.500 0.000 0.000
Ir: 0.000 0.000 0.500
Se: 0.500 0.500 0.500

N(E_F) ... 1.2 states/eV/cell
Magnetic moment ... 0.00 μB per cell

Going by the energies, version A is most stable and the next is 36 meV per atom up.

Version A
Entry from Alexandria via LeMat-Bulk: crystalline SrCaIr2 at its relaxed geometry (GGA-PBEsol).

Unit cell a=5.153 b=5.153 c=5.153 alpha=129.26 beta=129.26 gamma=74.59
Sites, in units of the cell vectors:
Sr: 0.000 0.000 0.000
Ca: 0.500 0.500 0.000
Ir: 0.250 0.750 0.500
Ir: 0.750 0.250 0.500

N(E_F) ... 2.9 states/eV/cell
Magnetic moment ... 0.00 μB per cell

Version B
Entry from Alexandria via LeMat-Bulk: crystalline SrCaIr2 at its relaxed geometry (GGA-PBEsol).

Unit cell a=4.811 b=4.811 c=4.811 alpha=60.00 beta=60.00 gamma=60.00
Sites, in units of the cell vectors:
Sr: 0.000 0.000 0.000
Ca: 0.250 0.250 0.250
Ir: 0.500 0.500 0.500
Ir: 0.750 0.750 0.750

N(E_F) ... 5.2 states/eV/cell
Magnetic moment ... 0.93 μB per cell

Going by the energies, version A is most stable and the next is 119 meV per atom up.

Version A
Entry from Alexandria via LeMat-Bulk: crystalline CaTc2Ir at its relaxed geometry (GGA-PBEsol).

Unit cell a=9.714 b=9.714 c=9.714 alpha=16.42 beta=16.42 gamma=16.42
Sites, in units of the cell vectors:
Ca: 0.000 0.000 0.000
Tc: 0.241 0.241 0.241
Tc: 0.759 0.759 0.759
Ir: 0.500 0.500 0.500

N(E_F) ... 4.5 states/eV/cell
Magnetic moment ... 0.00 μB per cell

Version B
Entry from Alexandria via LeMat-Bulk: crystalline CaTc2Ir at its relaxed geometry (GGA-PBEsol).

Unit cell a=5.410 b=5.410 c=5.410 alpha=148.00 beta=128.18 gamma=62.22
Sites, in units of the cell vectors:
Ca: 0.000 0.000 0.000
Tc: 0.512 0.512 0.000
Tc: 0.718 0.218 0.500
Ir: 0.279 0.779 0.500

N(E_F) ... 4.6 states/eV/cell
Magnetic moment ... 0.00 μB per cell

Going by the energies, version B is most stable and the next is 119 meV per atom up.

Version A
Entry from Alexandria via LeMat-Bulk: crystalline CaTc2Ir at its relaxed geometry (GGA-PBEsol).

Unit cell a=2.708 b=2.708 c=8.843 alpha=90.00 beta=90.00 gamma=90.00
Sites, in units of the cell vectors:
Ca: 0.000 0.000 0.000
Tc: 0.500 0.500 0.285
Tc: 0.500 0.500 0.715
Ir: 0.000 0.000 0.500

N(E_F) ... 3.8 states/eV/cell
Magnetic moment ... 0.00 μB per cell

Version B
Entry from Alexandria via LeMat-Bulk: crystalline CaTc2Ir at its relaxed geometry (GGA-PBEsol).

Unit cell a=3.234 b=3.234 c=6.851 alpha=90.00 beta=90.00 gamma=90.00
Sites, in units of the cell vectors:
Ca: 0.000 0.000 0.000
Tc: 0.500 0.500 0.319
Tc: 0.500 0.500 0.681
Ir: 0.000 0.000 0.500

N(E_F) ... 5.0 states/eV/cell
Magnetic moment ... 0.00 μB per cell

Going by the energies, version A is most stable and the next is 148 meV per atom up.

Version A
Entry from Alexandria via LeMat-Bulk: crystalline CaTcIr at its relaxed geometry (GGA-PBEsol).

Unit cell a=4.321 b=4.321 c=4.321 alpha=60.00 beta=60.00 gamma=60.00
Sites, in units of the cell vectors:
Ca: 0.000 0.000 0.000
Tc: 0.250 0.250 0.250
Ir: 0.500 0.500 0.500

N(E_F) ... 3.4 states/eV/cell
Magnetic moment ... 0.00 μB per cell

Version B
Entry from Alexandria via LeMat-Bulk: crystalline CaTcIr at its relaxed geometry (GGA-PBEsol).

Unit cell a=6.694 b=6.694 c=6.694 alpha=155.11 beta=155.11 gamma=35.49
Sites, in units of the cell vectors:
Ca: 0.000 0.000 0.000
Tc: 0.302 0.302 0.000
Ir: 0.681 0.681 0.000

N(E_F) ... 3.9 states/eV/cell
Magnetic moment ... 0.00 μB per cell

Going by the energies, version B is most stable and the next is 473 meV per atom up.

Version A
Entry from Alexandria via LeMat-Bulk: crystalline CaTcIr2 at its relaxed geometry (GGA-PBEsol).

Unit cell a=4.464 b=4.464 c=4.464 alpha=60.00 beta=60.00 gamma=60.00
Sites, in units of the cell vectors:
Ca: 0.000 0.000 0.000
Tc: 0.750 0.750 0.750
Ir: 0.250 0.250 0.250
Ir: 0.500 0.500 0.500

N(E_F) ... 7.0 states/eV/cell
Magnetic moment ... 0.00 μB per cell

Version B
Entry from Alexandria via LeMat-Bulk: crystalline CaTcIr2 at its relaxed geometry (GGA-PBEsol).

Unit cell a=2.833 b=4.653 c=4.768 alpha=90.00 beta=90.00 gamma=90.00
Sites, in units of the cell vectors:
Ca: 0.000 0.000 0.000
Tc: 0.500 0.000 0.500
Ir: 0.000 0.500 0.500
Ir: 0.500 0.500 0.000

N(E_F) ... 4.6 states/eV/cell
Magnetic moment ... 0.00 μB per cell

Version C
Entry from Alexandria via LeMat-Bulk: crystalline CaTcIr2 at its relaxed geometry (GGA-PBEsol).

Unit cell a=9.417 b=9.417 c=9.417 alpha=17.06 beta=17.06 gamma=17.06
Sites, in units of the cell vectors:
Ca: 0.000 0.000 0.000
Tc: 0.500 0.500 0.500
Ir: 0.243 0.243 0.243
Ir: 0.757 0.757 0.757

N(E_F) ... 4.9 states/eV/cell
Magnetic moment ... 0.00 μB per cell

Going by the energies, version C is most stable and the next is 206 meV per atom up.

Version A
Entry from Alexandria via LeMat-Bulk: crystalline CaTeIr at its relaxed geometry (GGA-PBEsol).

Unit cell a=5.809 b=5.809 c=5.809 alpha=143.74 beta=143.74 gamma=52.22
Sites, in units of the cell vectors:
Ca: 0.000 0.000 0.000
Te: 0.712 0.712 0.000
Ir: 0.294 0.294 0.000

N(E_F) ... 2.7 states/eV/cell
Magnetic moment ... 0.00 μB per cell

Version B
Entry from Alexandria via LeMat-Bulk: crystalline CaTeIr at its relaxed geometry (GGA-PBEsol).

Unit cell a=5.169 b=5.169 c=5.169 alpha=141.37 beta=130.49 gamma=64.50
Sites, in units of the cell vectors:
Ca: 0.000 0.000 0.000
Te: 0.333 0.333 0.000
Ir: 0.631 0.631 0.000

N(E_F) ... 2.1 states/eV/cell
Magnetic moment ... 0.00 μB per cell

Going by the energies, version A is most stable and the next is 140 meV per atom up.

Version A
Entry from Alexandria via LeMat-Bulk: crystalline Ca2IrW at its relaxed geometry (GGA-PBEsol).

Unit cell a=3.930 b=3.930 c=4.882 alpha=90.00 beta=90.00 gamma=90.00
Sites, in units of the cell vectors:
Ca: 0.000 0.500 0.000
Ca: 0.500 0.000 0.000
Ir: 0.000 0.000 0.500
W: 0.500 0.500 0.500

N(E_F) ... 4.0 states/eV/cell
Magnetic moment ... 0.00 μB per cell

Version B
Entry from Alexandria via LeMat-Bulk: crystalline Ca2IrW at its relaxed geometry (GGA-PBEsol).

Unit cell a=3.132 b=4.751 c=4.971 alpha=90.00 beta=90.00 gamma=90.00
Sites, in units of the cell vectors:
Ca: 0.000 0.000 0.000
Ca: 0.500 0.500 0.000
Ir: 0.000 0.500 0.500
W: 0.500 0.000 0.500

N(E_F) ... 3.4 states/eV/cell
Magnetic moment ... 0.00 μB per cell

Going by the energies, version A is most stable and the next is 21 meV per atom up.

Version A
Entry from Alexandria via LeMat-Bulk: crystalline CaZrIr at its relaxed geometry (GGA-PBEsol).

Unit cell a=6.610 b=6.610 c=6.610 alpha=150.60 beta=150.60 gamma=42.07
Sites, in units of the cell vectors:
Ca: 0.000 0.000 0.000
Zr: 0.737 0.737 0.000
Ir: 0.337 0.337 0.000

N(E_F) ... 3.0 states/eV/cell
Magnetic moment ... 0.00 μB per cell

Version B
Entry from Alexandria via LeMat-Bulk: crystalline CaZrIr at its relaxed geometry (GGA-PBEsol).

Unit cell a=4.484 b=4.484 c=4.484 alpha=60.00 beta=60.00 gamma=60.00
Sites, in units of the cell vectors:
Ca: 0.000 0.000 0.000
Zr: 0.750 0.750 0.750
Ir: 0.250 0.250 0.250

N(E_F) ... 2.1 states/eV/cell
Magnetic moment ... 0.00 μB per cell

Version C
Entry from Alexandria via LeMat-Bulk: crystalline CaZrIr at its relaxed geometry (GGA-PBEsol).

Unit cell a=4.626 b=4.626 c=3.149 alpha=90.00 beta=90.00 gamma=120.00
Sites, in units of the cell vectors:
Ca: 0.000 0.000 0.000
Zr: 0.333 0.667 0.391
Ir: 0.667 0.333 0.652

N(E_F) ... 3.5 states/eV/cell
Magnetic moment ... 0.00 μB per cell

Going by the energies, version A is most stable and the next is 249 meV per atom up.

Version A
Entry from Alexandria via LeMat-Bulk: crystalline CaZr2Ir at its relaxed geometry (GGA-PBEsol).

Unit cell a=5.954 b=5.954 c=5.107 alpha=115.33 beta=115.33 gamma=32.24
Sites, in units of the cell vectors:
Ca: 0.000 0.000 0.000
Zr: 0.206 0.206 0.706
Zr: 0.794 0.794 0.294
Ir: 0.500 0.500 0.500

N(E_F) ... 3.8 states/eV/cell
Magnetic moment ... 0.00 μB per cell

Version B
Entry from Alexandria via LeMat-Bulk: crystalline CaZr2Ir at its relaxed geometry (GGA-PBEsol).

Unit cell a=4.842 b=4.842 c=4.842 alpha=60.00 beta=60.00 gamma=60.00
Sites, in units of the cell vectors:
Ca: 0.000 0.000 0.000
Zr: 0.250 0.250 0.250
Zr: 0.500 0.500 0.500
Ir: 0.750 0.750 0.750

N(E_F) ... 4.2 states/eV/cell
Magnetic moment ... 1.89 μB per cell

Going by the energies, version A is most stable and the next is 341 meV per atom up.

Version A
Entry from Alexandria via LeMat-Bulk: crystalline KCa5 at its relaxed geometry (GGA-PBEsol).

Unit cell a=7.595 b=7.595 c=9.486 alpha=104.68 beta=104.68 gamma=29.67
Sites, in units of the cell vectors:
K: 0.000 0.000 0.000
Ca: 0.273 0.273 0.057
Ca: 0.331 0.331 0.659
Ca: 0.615 0.615 0.710
Ca: 0.673 0.673 0.345
Ca: 0.943 0.943 0.393

N(E_F) ... 5.9 states/eV/cell
Magnetic moment ... 0.00 μB per cell

Version B
Entry from Alexandria via LeMat-Bulk: crystalline KCa5 at its relaxed geometry (GGA-PBEsol).

Unit cell a=8.884 b=8.884 c=5.554 alpha=90.00 beta=90.00 gamma=143.53
Sites, in units of the cell vectors:
K: 0.000 0.000 0.000
Ca: 0.173 0.827 0.500
Ca: 0.329 0.671 0.000
Ca: 0.500 0.500 0.500
Ca: 0.671 0.329 0.000
Ca: 0.827 0.173 0.500

N(E_F) ... 6.7 states/eV/cell
Magnetic moment ... 0.00 μB per cell

Going by the energies, version A is most stable and the next is 20 meV per atom up.

Version A
Entry from Alexandria via LeMat-Bulk: crystalline KCaMo2 at its relaxed geometry (GGA-PBEsol).

Unit cell a=3.457 b=4.126 c=5.572 alpha=90.00 beta=90.00 gamma=90.00
Sites, in units of the cell vectors:
K: 0.000 0.000 0.000
Ca: 0.500 0.500 0.000
Mo: 0.000 0.500 0.500
Mo: 0.500 0.000 0.500

N(E_F) ... 3.3 states/eV/cell
Magnetic moment ... 0.00 μB per cell

Version B
Entry from Alexandria via LeMat-Bulk: crystalline KCaMo2 at its relaxed geometry (GGA-PBEsol).

Unit cell a=6.152 b=6.152 c=6.152 alpha=144.10 beta=144.10 gamma=51.69
Sites, in units of the cell vectors:
K: 0.000 0.000 0.000
Ca: 0.500 0.500 0.000
Mo: 0.250 0.750 0.500
Mo: 0.750 0.250 0.500

N(E_F) ... 3.0 states/eV/cell
Magnetic moment ... 0.00 μB per cell

Going by the energies, version A is most stable and the next is 7 meV per atom up.